A plane-wave DFT calculation with PBE was carried out for a geometry-optimized SrMn2Cu structure.

Properties
Energy above the most stable polymorph in this dataset   197 meV/atom
Formation enthalpy at 0 K   0.416 eV per atom
Electronic total energy   -0.2063 hartree per atom

Cell lengths 6.1359, 6.1359, 6.1359 Å; angles 41.13, 41.13, 41.13 degrees
Fractional positions:
Sr 0.0000 0.0000 0.0000
Mn 0.2003 0.2003 0.2003
Mn 0.7997 0.7997 0.7997
Cu 0.5000 0.5000 0.5000